VASP calculation (PBE-GGA) on an optimized crystal structure of SeO2F2.

Results
Raw formation energy (eV/f.u.): 4.85

a = 3.584 Å, b = 3.584 Å, c = 4.344 Å
α = 90.00°, β = 90.00°, γ = 90.00°
Last column: magnetic moment on the atom in μB.
Fractional positions:
O 0.500 0.000 0.000  -0.10
F 0.000 0.000 0.500  0.01
Se 0.500 0.500 0.500  0.02
O 0.000 0.500 0.000  -0.10
F 0.000 0.000 0.000  -0.03


VASP calculation (PBE-GGA) on an optimized crystal structure of SeOF2.

Results
Raw formation energy (eV/f.u.): -0.45

a = 3.383 Å, b = 3.383 Å, c = 7.869 Å
α = 77.59°, β = 77.59°, γ = 90.00°
Fractional positions:
F 0.092 0.625 0.250
O 0.500 0.500 0.000
F 0.658 0.125 0.250
F 0.875 0.908 0.750
O 0.250 0.750 0.500
F 0.375 0.342 0.750
Se 0.750 0.250 0.500
Se 0.000 0.000 0.000


VASP calculation (PBE-GGA) on an optimized crystal structure of SeOF.

Results
Raw formation energy (eV/f.u.): -2.99

a = 6.878 Å, b = 4.483 Å, c = 7.965 Å
α = 90.00°, β = 118.10°, γ = 90.00°
Fractional positions:
F 0.149 0.307 0.398
F 0.149 0.807 0.898
O 0.401 0.593 0.770
Se 0.658 0.437 0.683
O 0.401 0.093 0.270
Se 0.342 0.937 0.817
O 0.599 0.093 0.730
O 0.599 0.593 0.230
Se 0.342 0.437 0.317
Se 0.658 0.937 0.183
F 0.851 0.807 0.102
F 0.851 0.307 0.602


VASP calculation (PBE-GGA) on an optimized crystal structure of SeOF2.

Results
Raw formation energy (eV/f.u.): 1.34

a = 7.459 Å, b = 7.459 Å, c = 7.459 Å
α = 22.31°, β = 22.31°, γ = 22.31°
Last column: magnetic moment on the atom in μB.
Fractional positions:
O 0.000 0.000 0.000  0.79
F 0.921 0.921 0.921  0.03
Se 0.500 0.500 0.500  -0.05
F 0.079 0.079 0.079  0.03


VASP calculation (PBE-GGA) on an optimized crystal structure of SeOF2.

Results
Raw formation energy (eV/f.u.): -5.41

a = 5.844 Å, b = 5.236 Å, c = 5.373 Å
α = 132.52°, β = 135.64°, γ = 71.95°
Fractional positions:
F 0.689 0.499 0.473
F 0.217 0.001 0.531
Se 0.615 0.361 0.006
O 0.479 0.674 0.990


VASP calculation (PBE-GGA) on an optimized crystal structure of SeOF2.

Results
Raw formation energy (eV/f.u.): -5.54

a = 5.689 Å, b = 6.329 Å, c = 7.911 Å
α = 90.00°, β = 90.00°, γ = 90.00°
Fractional positions:
F 0.661 0.796 0.390
F 0.339 0.296 0.610
Se 0.956 0.243 0.188
F 0.839 0.296 0.390
O 0.742 0.113 0.097
Se 0.544 0.743 0.188
Se 0.456 0.243 0.812
O 0.258 0.613 0.903
F 0.130 0.029 0.268
O 0.758 0.613 0.097
O 0.242 0.113 0.903
F 0.630 0.029 0.732
Se 0.044 0.743 0.812
F 0.870 0.529 0.732
F 0.161 0.796 0.610
F 0.370 0.529 0.268


VASP calculation (PBE-GGA) on an optimized crystal structure of SeOF2.

Results
Raw formation energy (eV/f.u.): 0.88

a = 3.862 Å, b = 3.862 Å, c = 3.862 Å
α = 60.00°, β = 60.00°, γ = 60.00°
Last column: magnetic moment on the atom in μB.
Fractional positions:
F 0.250 0.250 0.250  0.00
F 0.750 0.750 0.750  0.00
O 0.000 0.000 0.000  0.07
Se 0.500 0.500 0.500  -0.04


VASP calculation (PBE-GGA) on an optimized crystal structure of SeO2F2.

Results
Raw formation energy (eV/f.u.): -0.92

a = 4.176 Å, b = 4.176 Å, c = 3.757 Å
α = 90.00°, β = 90.00°, γ = 90.00°
Last column: magnetic moment on the atom in μB.
Fractional positions:
F 0.500 0.000 0.000  0.02
F 0.000 0.500 0.000  0.02
Se 0.000 0.000 0.000  0.00
O 0.000 0.000 0.500  0.05
O 0.500 0.500 0.500  1.52


VASP calculation (PBE-GGA) on an optimized crystal structure of SeOF2.

Results
Raw formation energy (eV/f.u.): -0.48

a = 8.704 Å, b = 8.704 Å, c = 8.704 Å
α = 19.49°, β = 19.49°, γ = 19.49°
Last column: magnetic moment on the atom in μB.
Fractional positions:
F 0.072 0.072 0.072  0.01
F 0.928 0.928 0.928  0.01
O 0.500 0.500 0.500  1.70
Se 0.000 0.000 0.000  -0.01


VASP calculation (PBE-GGA) on an optimized crystal structure of SeO2F2.

Results
Raw formation energy (eV/f.u.): -4.72

a = 5.760 Å, b = 5.760 Å, c = 11.536 Å
α = 90.00°, β = 90.00°, γ = 90.00°
Fractional positions:
F 0.863 0.027 0.095
F 0.027 0.863 0.905
O 0.830 0.471 0.685
F 0.473 0.363 0.345
O 0.029 0.330 0.935
F 0.363 0.473 0.655
Se 0.591 0.409 0.750
O 0.670 0.971 0.565
F 0.527 0.637 0.845
Se 0.091 0.091 0.000
O 0.330 0.029 0.065
O 0.471 0.830 0.315
O 0.971 0.670 0.435
Se 0.909 0.909 0.500
F 0.973 0.137 0.405
O 0.529 0.170 0.815
Se 0.409 0.591 0.250
F 0.637 0.527 0.155
O 0.170 0.529 0.185
F 0.137 0.973 0.595


VASP calculation (PBE-GGA) on an optimized crystal structure of SeO2F2.

Results
Raw formation energy (eV/f.u.): 3.78

a = 3.890 Å, b = 3.890 Å, c = 3.652 Å
α = 90.00°, β = 90.00°, γ = 90.00°
Fractional positions:
O 0.000 0.000 0.000
F 0.500 0.000 0.000
F 0.000 0.500 0.000
Se 0.500 0.500 0.500
O 0.000 0.000 0.500


VASP calculation (PBE-GGA) on an optimized crystal structure of SiSeOF2.

Results
Raw formation energy (eV/f.u.): -1.19

a = 4.571 Å, b = 4.571 Å, c = 3.772 Å
α = 90.00°, β = 90.00°, γ = 90.00°
Last column: magnetic moment on the atom in μB.
Fractional positions:
Si 0.500 0.500 0.500  0.05
F 0.500 0.000 0.000  0.00
O 0.000 0.000 0.500  0.00
Se 0.000 0.000 0.000  -0.01
F 0.000 0.500 0.000  0.00


> raw formation energy of number 7 (SeOF2)?

0.88 eV/f.u.